DFT (PBE) results for a geometry-optimized Pr3Dy7Tm structure.

Values from the calculation:
E_form ... 0.171 eV per atom
E above lowest polymorph ... 0.510 eV/f.u.
Fermi-level density of states ... 1.498 states/eV/atom
Total magnetization ... 0.0000 μB/atom
Energy ... -4.468 eV/atom

Cell lengths 8.7130, 7.0852, 7.0852 Å; angles 120.00, 90.00, 90.00 degrees
Closest atoms and distances in Å follow each position.
Atoms (fractional coordinates):
Pr: 0.7828 0.4999 0.9998  4 Pr 3.54, 5 Dy 3.58-3.60, 1 Tm 3.60
Pr: 0.7828 0.0002 0.5001  4 Pr 3.54, 5 Dy 3.58-3.60, 1 Tm 3.60
Pr: 0.7828 0.4999 0.5001  4 Pr 3.54, 5 Dy 3.58-3.60, 1 Tm 3.60
Dy: 0.4448 0.3350 0.1675  7 Dy 3.46-3.56, 2 Tm 3.54, 2 Pr 3.58
Dy: 0.1221 0.6649 0.8325  1 Tm 3.46, 8 Dy 3.48-3.56, 2 Pr 3.59
Dy: 0.1221 0.1675 0.8325  1 Tm 3.46, 8 Dy 3.48-3.56, 2 Pr 3.59
Dy: 0.4448 0.8325 0.1675  7 Dy 3.46-3.56, 2 Tm 3.54, 2 Pr 3.58
Dy: 0.4448 0.8325 0.6650  7 Dy 3.46-3.56, 2 Tm 3.54, 2 Pr 3.58
Dy: 0.1221 0.1675 0.3351  1 Tm 3.46, 8 Dy 3.48-3.56, 2 Pr 3.59
Dy: 0.1232 0.6667 0.3333  9 Dy 3.46-3.54, 3 Pr 3.60
Tm: 0.4428 0.3333 0.6667  9 Dy 3.46-3.54, 3 Pr 3.60

=====

DFT (PBE) results for a geometry-optimized Ac12Tl6Pt structure.

Values from the calculation:
E_form ... -0.266 eV per atom
Fermi-level density of states ... 1.170 states/eV/atom
Total magnetization ... 0.0000 μB/atom
Energy ... -3.926 eV/atom

Cell lengths 9.1541, 9.1541, 9.1541 Å; angles 93.05, 93.05, 93.05 degrees
Closest atoms and distances in Å follow each position.
Atoms (fractional coordinates):
Ac: 0.3143 0.9571 0.0878  1 Pt 3.00
Ac: 0.4517 0.8043 0.5738  4 Tl 3.43-3.53
Ac: 0.0878 0.3143 0.9571  1 Pt 3.00
Ac: 0.1957 0.4262 0.5483  4 Tl 3.43-3.53
Ac: 0.0429 0.9122 0.6857  1 Pt 3.00
Ac: 0.8043 0.5738 0.4517  4 Tl 3.43-3.53
Ac: 0.5738 0.4517 0.8043  4 Tl 3.43-3.53
Ac: 0.9122 0.6857 0.0429  1 Pt 3.00
Ac: 0.9571 0.0878 0.3143  1 Pt 3.00
Ac: 0.4262 0.5483 0.1957  4 Tl 3.43-3.53
Ac: 0.5483 0.1957 0.4262  4 Tl 3.43-3.53
Ac: 0.6857 0.0429 0.9122  1 Pt 3.00
Pt: 0.0000 0.0000 0.0000  6 Ac 3.00
Tl: 0.3509 0.1402 0.7361  8 Ac 3.41-3.73
Tl: 0.7361 0.3509 0.1402  8 Ac 3.41-3.73
Tl: 0.6491 0.8598 0.2639  8 Ac 3.41-3.73
Tl: 0.2639 0.6491 0.8598  8 Ac 3.41-3.73
Tl: 0.1402 0.7361 0.3509  8 Ac 3.41-3.73
Tl: 0.8598 0.2639 0.6491  8 Ac 3.41-3.73

=====

DFT (PBE) results for a geometry-optimized ReW2 structure.

Values from the calculation:
E_form ... 0.059 eV per atom
E above lowest polymorph ... 0.031 eV/f.u.
Fermi-level density of states ... 0.503 states/eV/atom
Total magnetization ... 0.0000 μB/atom
Energy ... -12.726 eV/atom

Cell lengths 3.1568, 3.1568, 5.2500 Å; angles 107.50, 107.50, 90.00 degrees
Closest atoms and distances in Å follow each position.
Atoms (fractional coordinates):
W: 0.3327 0.3327 0.6653  4 W 2.73, 4 Re 2.74
W: 0.6673 0.6673 0.3347  4 W 2.73, 4 Re 2.74
Re: 0.0000 0.0000 0.0000  8 W 2.74

=====

DFT (PBE) results for a geometry-optimized TbCeCd14 structure.

Values from the calculation:
E_form ... -0.120 eV per atom
Fermi-level density of states ... 0.699 states/eV/atom
Total magnetization ... 0.0691 μB/atom
Energy ... -1.581 eV/atom

Cell lengths 6.6755, 6.6755, 8.4201 Å; angles 90.00, 90.00, 90.00 degrees
Closest atoms and distances in Å follow each position.
Atoms (fractional coordinates):
Cd: 0.6278 0.1222 0.2390  10 Cd 3.08-3.38, 1 Tb 3.21, 1 Ce 3.24
Cd: 0.1222 0.6278 0.2390  10 Cd 3.08-3.38, 1 Tb 3.21, 1 Ce 3.24
Cd: 0.3750 0.8750 0.0000  12 Cd 3.10-3.34
Cd: 0.3750 0.3750 0.0000  12 Cd 3.12-3.34
Cd: 0.3750 0.8750 0.5000  8 Cd 3.23, 2 Tb 3.34, 2 Ce 3.34
Cd: 0.8750 0.3750 0.5000  8 Cd 3.23, 2 Tb 3.34, 2 Ce 3.34
Cd: 0.1222 0.1222 0.7610  10 Cd 3.08-3.38, 1 Tb 3.21, 1 Ce 3.24
Cd: 0.8750 0.3750 0.0000  12 Cd 3.10-3.34
Cd: 0.6278 0.1222 0.7610  10 Cd 3.08-3.38, 1 Tb 3.21, 1 Ce 3.24
Cd: 0.1222 0.6278 0.7610  10 Cd 3.08-3.38, 1 Tb 3.21, 1 Ce 3.24
Cd: 0.6278 0.6278 0.2390  10 Cd 3.08-3.38, 1 Tb 3.21, 1 Ce 3.24
Cd: 0.6278 0.6278 0.7610  10 Cd 3.08-3.38, 1 Tb 3.21, 1 Ce 3.24
Cd: 0.8750 0.8750 0.0000  12 Cd 3.08-3.34
Cd: 0.1222 0.1222 0.2390  10 Cd 3.08-3.38, 1 Tb 3.21, 1 Ce 3.24
Tb: 0.8750 0.8750 0.5000  12 Cd 3.21-3.34
Ce: 0.3750 0.3750 0.5000  12 Cd 3.24-3.34

=====

DFT (PBE) results for a geometry-optimized AsSeBr2O structure.

Values from the calculation:
E above lowest polymorph ... 0.013 eV/f.u.
Fermi-level density of states ... 0.788 states/eV/atom
Total magnetization ... 0.0000 μB/atom
ΔE_f (raw) ... 0.6716 eV per atom
Energy ... -2.616 eV/atom

Cell lengths 4.8329, 4.8329, 4.3834 Å; angles 90.00, 90.00, 90.00 degrees
Closest atoms and distances in Å follow each position.
Atoms (fractional coordinates):
Br: 0.5000 0.0000 0.0000  2 O 2.42
Br: 0.0000 0.5000 0.0000  2 O 2.42
As: 0.0000 0.0000 0.5000  2 O 2.19
O: 0.0000 0.0000 0.0000  2 As 2.19, 4 Br 2.42
Se: 0.5000 0.5000 0.5000  8 Br 3.26, 4 As 3.42

=====

DFT (PBE) results for a geometry-optimized NpGa2Cu structure.

Values from the calculation:
E_form ... -0.099 eV per atom
Fermi-level density of states ... 2.387 states/eV/atom
Total magnetization ... 1.0349 μB/atom
Energy ... -5.871 eV/atom

Cell lengths 4.4954, 6.3531, 10.1534 Å; angles 90.00, 90.00, 90.00 degrees
Closest atoms and distances in Å follow each position.
Atoms (fractional coordinates):
Ga: 0.7500 0.2556 0.4514  3 Cu 2.53-2.69, 2 Ga 2.72
Ga: 0.2500 0.9317 0.1518  2 Cu 2.48-2.49, 2 Ga 2.72
Ga: 0.2500 0.7444 0.5486  3 Cu 2.53-2.69, 2 Ga 2.72
Ga: 0.7500 0.5683 0.6518  2 Cu 2.48-2.49, 2 Ga 2.72
Ga: 0.7500 0.7556 0.0486  3 Cu 2.53-2.69, 2 Ga 2.72
Ga: 0.2500 0.4317 0.3482  2 Cu 2.48-2.49, 2 Ga 2.72
Ga: 0.2500 0.2444 0.9514  3 Cu 2.53-2.69, 2 Ga 2.72
Ga: 0.7500 0.0683 0.8482  2 Cu 2.48-2.49, 2 Ga 2.72
Cu: 0.7500 0.9539 0.6137  5 Ga 2.48-2.69
Cu: 0.2500 0.0461 0.3863  5 Ga 2.48-2.69
Cu: 0.2500 0.5461 0.1137  5 Ga 2.48-2.69
Cu: 0.7500 0.4539 0.8863  5 Ga 2.48-2.69
Np: 0.2500 0.2580 0.6555  9 Ga 2.99-3.31, 3 Cu 2.99-3.05
Np: 0.7500 0.2420 0.1555  9 Ga 2.99-3.31, 3 Cu 2.99-3.05
Np: 0.7500 0.7420 0.3445  9 Ga 2.99-3.31, 3 Cu 2.99-3.05
Np: 0.2500 0.7580 0.8445  9 Ga 2.99-3.31, 3 Cu 2.99-3.05

=====

DFT (PBE) results for a geometry-optimized LiInAsPd structure.

Values from the calculation:
E_form ... -0.346 eV per atom
Fermi-level density of states ... 0.783 states/eV/atom
Total magnetization ... 0.0000 μB/atom
Energy ... -3.969 eV/atom

Cell lengths 4.6300, 4.6300, 4.6300 Å; angles 60.00, 60.00, 60.00 degrees
Closest atoms and distances in Å follow each position.
Atoms (fractional coordinates):
Pd: 0.5000 0.5000 0.5000  4 In 2.84, 4 As 2.84
As: 0.2500 0.2500 0.2500  4 Li 2.84, 4 Pd 2.84
Li: 0.0000 0.0000 0.0000  4 As 2.84, 4 In 2.84
In: 0.7500 0.7500 0.7500  4 Pd 2.84, 4 Li 2.84

=====

DFT (PBE) results for a geometry-optimized Sm2Ge4PdPt3 structure.

Values from the calculation:
E_form ... -0.910 eV per atom
Fermi-level density of states ... 0.580 states/eV/atom
Total magnetization ... 0.0000 μB/atom
Energy ... -6.032 eV/atom

Cell lengths 4.3495, 4.3495, 10.1178 Å; angles 90.00, 90.00, 90.00 degrees
Closest atoms and distances in Å follow each position.
Atoms (fractional coordinates):
Sm: 0.5000 0.0000 0.2499  8 Ge 3.31-3.34, 6 Pt 3.32-3.34, 2 Pd 3.34
Sm: 0.0000 0.5000 0.7501  8 Ge 3.31-3.34, 6 Pt 3.32-3.34, 2 Pd 3.34
Ge: 0.0000 0.5000 0.3696  3 Pt 2.45-2.54, 2 Pd 2.54
Ge: 0.0000 0.0000 0.0000  4 Pt 2.53
Ge: 0.5000 0.0000 0.6304  3 Pt 2.45-2.54, 2 Pd 2.54
Ge: 0.5000 0.5000 0.0000  4 Pt 2.53
Pd: 0.5000 0.5000 0.5000  4 Ge 2.54
Pt: 0.0000 0.5000 0.1271  5 Ge 2.45-2.53
Pt: 0.0000 0.0000 0.5000  4 Ge 2.54
Pt: 0.5000 0.0000 0.8729  5 Ge 2.45-2.53